No. 1
Density functional theory data (PBE-GGA) for an optimized crystal structure of GeRu.

```
data_GeRu
_chemical_formula_sum 'Ge4 Ru4'
_cell_length_a 5.497
_cell_length_b 5.497
_cell_length_c 5.497
_cell_angle_alpha 90.00
_cell_angle_beta 90.00
_cell_angle_gamma 90.00
_space_group_name_H-M_alt 'F -4 3 m'
_space_group_IT_number 216
_space_group_name_Hall 'F -4 2 3'
loop_
_atom_site_label
_atom_site_type_symbol
_atom_site_fract_x
_atom_site_fract_y
_atom_site_fract_z
_atom_site_occupancy
Ge1 Ge 0.000 0.000 0.000 1
Ru1 Ru 0.250 0.250 0.750 1
```

Its formation enthalpy at 0 K is 97 kJ/mol of formula units.


No. 2
Density functional theory data (PBE-GGA) for an optimized crystal structure of GeRu.

```
data_GeRu
_chemical_formula_sum 'Ge6 Ru6'
_cell_length_a 2.960
_cell_length_b 14.028
_cell_length_c 4.241
_cell_angle_alpha 90.00
_cell_angle_beta 90.00
_cell_angle_gamma 90.00
_space_group_name_H-M_alt 'P m m n'
_space_group_IT_number 59
loop_
_space_group_symop_operation_xyz
'x,y,z'
'-x,-y,-z'
'-x+1/2,-y+1/2,z'
'x+1/2,y+1/2,-z'
'x+1/2,-y,-z'
'-x+1/2,y,z'
'-x,y+1/2,-z'
'x,-y+1/2,z'
loop_
_atom_site_label
_atom_site_type_symbol
_atom_site_fract_x
_atom_site_fract_y
_atom_site_fract_z
_atom_site_occupancy
Ge1 Ge 0.250 0.087 0.128 1
Ge2 Ge 0.250 0.750 0.626 1
Ru1 Ru 0.250 0.250 0.864 1
Ru2 Ru 0.250 0.579 0.373 1
```

The density of states at the Fermi level comes out at 1.35 states/eV/f.u. Its formation enthalpy at 0 K is -21 kJ/mol of formula units.


No. 3
Density functional theory data (PBE-GGA) for an optimized crystal structure of GeRu.

```
data_GeRu
_chemical_formula_sum 'Ge4 Ru4'
_cell_length_a 5.021
_cell_length_b 5.021
_cell_length_c 5.018
_cell_angle_alpha 90.00
_cell_angle_beta 90.00
_cell_angle_gamma 90.00
_space_group_name_H-M_alt 'P 42/m n m'
_space_group_IT_number 136
_space_group_name_Hall '-P 4n 2n'
loop_
_atom_site_label
_atom_site_type_symbol
_atom_site_fract_x
_atom_site_fract_y
_atom_site_fract_z
_atom_site_occupancy
Ge1 Ge 0.224 0.224 0.000 1
Ru1 Ru 0.223 0.223 0.500 1
```

The density of states at the Fermi level comes out at 0.46 states/eV/f.u. Its formation enthalpy at 0 K is 33 kJ/mol of formula units.


No. 4
Density functional theory data (PBE-GGA) for an optimized crystal structure of GeRu.

```
data_GeRu
_chemical_formula_sum 'Ge8 Ru8'
_cell_length_a 5.891
_cell_length_b 6.023
_cell_length_c 7.043
_cell_angle_alpha 90.00
_cell_angle_beta 90.00
_cell_angle_gamma 90.00
_space_group_name_H-M_alt 'P 21 21 21'
_space_group_IT_number 19
_space_group_name_Hall 'P 2ac 2ab'
loop_
_atom_site_label
_atom_site_type_symbol
_atom_site_fract_x
_atom_site_fract_y
_atom_site_fract_z
_atom_site_occupancy
Ge1 Ge 0.119 0.002 0.168 1
Ge2 Ge 0.138 0.410 0.997 1
Ru1 Ru 0.001 0.583 0.686 1
Ru2 Ru 0.161 0.229 0.447 1
```

The density of states at the Fermi level comes out at 0.02 states/eV/f.u. Its formation enthalpy at 0 K is -30 kJ/mol of formula units.


No. 5
Density functional theory data (PBE-GGA) for an optimized crystal structure of GeRu.

```
data_GeRu
_chemical_formula_sum 'Ge8 Ru8'
_cell_length_a 7.502
_cell_length_b 7.502
_cell_length_c 7.502
_cell_angle_alpha 90.00
_cell_angle_beta 90.00
_cell_angle_gamma 90.00
_space_group_name_H-M_alt 'I -4 3 m'
_space_group_IT_number 217
_space_group_name_Hall 'I -4 2 3'
loop_
_atom_site_label
_atom_site_type_symbol
_atom_site_fract_x
_atom_site_fract_y
_atom_site_fract_z
_atom_site_occupancy
Ge1 Ge 0.189 0.189 0.189 1
Ru1 Ru 0.128 0.128 0.872 1
```

The density of states at the Fermi level comes out at 2.35 states/eV/f.u. Its formation enthalpy at 0 K is 96 kJ/mol of formula units.


No. 6
Density functional theory data (PBE-GGA) for an optimized crystal structure of GeRu.

```
data_GeRu
_chemical_formula_sum 'Ge2 Ru2'
_cell_length_a 4.078
_cell_length_b 4.562
_cell_length_c 4.106
_cell_angle_alpha 90.00
_cell_angle_beta 112.87
_cell_angle_gamma 90.00
_space_group_name_H-M_alt 'P 1 21/m 1'
_space_group_IT_number 11
_space_group_name_Hall '-P 2yb'
loop_
_atom_site_label
_atom_site_type_symbol
_atom_site_fract_x
_atom_site_fract_y
_atom_site_fract_z
_atom_site_occupancy
Ge1 Ge 0.110 0.250 0.385 1
Ru1 Ru 0.251 0.750 0.251 1
```

The density of states at the Fermi level comes out at 0.41 states/eV/f.u. Its formation enthalpy at 0 K is 8 kJ/mol of formula units.


No. 7
Density functional theory data (PBE-GGA) for an optimized crystal structure of Ge3RuS.

```
data_Ge3RuS
_chemical_formula_sum 'Ge3 Ru1 S1'
_cell_length_a 4.801
_cell_length_b 4.801
_cell_length_c 4.801
_cell_angle_alpha 90.00
_cell_angle_beta 90.00
_cell_angle_gamma 90.00
_space_group_name_H-M_alt 'P m -3 m'
_space_group_IT_number 221
_space_group_name_Hall '-P 4 2 3'
loop_
_atom_site_label
_atom_site_type_symbol
_atom_site_fract_x
_atom_site_fract_y
_atom_site_fract_z
_atom_site_occupancy
Ge1 Ge 0.000 0.000 0.500 1
Ru1 Ru 0.000 0.000 0.000 1
S1 S 0.500 0.500 0.500 1
```

The density of states at the Fermi level comes out at 0.00 states/eV/f.u. Its uncorrected formation energy is 1.9 kcal/mol of atoms.


No. 8
Density functional theory data (PBE-GGA) for an optimized crystal structure of Ge3RuS.

```
data_Ge3RuS
_chemical_formula_sum 'Ge3 Ru1 S1'
_cell_length_a 4.691
_cell_length_b 4.691
_cell_length_c 4.691
_cell_angle_alpha 90.00
_cell_angle_beta 90.00
_cell_angle_gamma 90.00
_space_group_name_H-M_alt 'P m -3 m'
_space_group_IT_number 221
_space_group_name_Hall '-P 4 2 3'
loop_
_atom_site_label
_atom_site_type_symbol
_atom_site_fract_x
_atom_site_fract_y
_atom_site_fract_z
_atom_site_occupancy
Ge1 Ge 0.000 0.000 0.500 1
Ru1 Ru 0.500 0.500 0.500 1
S1 S 0.000 0.000 0.000 1
```

The density of states at the Fermi level comes out at 3.50 states/eV/f.u. Its uncorrected formation energy is 25.0 kcal/mol of atoms.


No. 9
Density functional theory data (PBE-GGA) for an optimized crystal structure of GeRuS.

```
data_GeRuS
_chemical_formula_sum 'Ge2 Ru2 S2'
_cell_length_a 2.977
_cell_length_b 5.362
_cell_length_c 6.091
_cell_angle_alpha 90.00
_cell_angle_beta 90.00
_cell_angle_gamma 90.00
_space_group_name_H-M_alt 'P m n 21'
_space_group_IT_number 31
_space_group_name_Hall 'P 2ac -2'
loop_
_atom_site_label
_atom_site_type_symbol
_atom_site_fract_x
_atom_site_fract_y
_atom_site_fract_z
_atom_site_occupancy
Ge1 Ge 0.000 0.078 0.000 1
Ru1 Ru 0.000 0.277 0.359 1
S1 S 0.000 0.422 0.734 1
```

Its uncorrected formation energy is -9.7 kcal/mol of atoms.


No. 10
Density functional theory data (PBE-GGA) for an optimized crystal structure of Ge2RuS.

```
data_Ge2RuS
_chemical_formula_sum 'Ge8 Ru4 S4'
_cell_length_a 5.728
_cell_length_b 5.728
_cell_length_c 10.732
_cell_angle_alpha 90.00
_cell_angle_beta 90.00
_cell_angle_gamma 90.00
_space_group_name_H-M_alt 'I -4 2 d'
_space_group_IT_number 122
_space_group_name_Hall 'I -4 2bw'
loop_
_atom_site_label
_atom_site_type_symbol
_atom_site_fract_x
_atom_site_fract_y
_atom_site_fract_z
_atom_site_occupancy
Ge1 Ge 0.230 0.250 0.125 1
Ru1 Ru 0.000 0.000 0.000 1
S1 S 0.000 0.000 0.500 1
```

The density of states at the Fermi level comes out at 2.11 states/eV/f.u. Its uncorrected formation energy is 4.5 kcal/mol of atoms.


No. 11
Density functional theory data (PBE-GGA) for an optimized crystal structure of GeRuS.

```
data_GeRuS
_chemical_formula_sum 'Ge6 Ru6 S6'
_cell_length_a 8.928
_cell_length_b 6.120
_cell_length_c 5.333
_cell_angle_alpha 90.00
_cell_angle_beta 90.00
_cell_angle_gamma 90.00
_space_group_name_H-M_alt 'P m n 21'
_space_group_IT_number 31
_space_group_name_Hall 'P 2ac -2'
loop_
_atom_site_label
_atom_site_type_symbol
_atom_site_fract_x
_atom_site_fract_y
_atom_site_fract_z
_atom_site_occupancy
Ge1 Ge 0.000 0.104 0.000 1
Ge2 Ge 0.161 0.603 0.832 1
Ru1 Ru 0.000 0.749 0.191 1
Ru2 Ru 0.168 0.239 0.654 1
S1 S 0.000 0.366 0.343 1
S2 S 0.174 0.870 0.488 1
```

Its uncorrected formation energy is -10.1 kcal/mol of atoms.


For the records above, the corresponding total magnetization values read 0.00, 0.00, 0.00, 0.00, 0.00, 0.00, 0.00, 0.00, 0.00, 0.00, 0.00 Bohr magnetons per cell.